[1]
The following is a PBE calculation of crystalline H2WSeN at its relaxed geometry, from Alexandria.

The space group is P4/mmm (No. 123) and the conventional cell measures 3.687, 3.687 and 3.984 Å, with angles of 90.00, 90.00 and 90.00 degrees. The asymmetric unit holds H at (0.000, 0.500, 0.000), W at (0.000, 0.000, 0.000), Se at (0.500, 0.500, 0.500) and N at (0.000, 0.000, 0.500).

The calculation puts the density of states at the Fermi level at 0.487 states/eV per atom. The total magnetic moment is 0.0 μB per cell. The value obtained for the uncorrected energy is -5.558 eV per atom. The value obtained for the density is 8.55 g/cm³.

[2]
The following is a PBE calculation of crystalline TlAgSbPb at its relaxed geometry, from Alexandria.

The space group is Cm (No. 8) and the conventional cell measures 8.393, 4.686 and 6.606 Å, with angles of 90.00, 113.59 and 90.00 degrees. The asymmetric unit holds Tl at (0.000, 0.000, 0.000), Ag at (0.480, 0.000, 0.433), Sb at (0.272, 0.500, 0.315) and Pb at (0.219, 0.000, 0.656).

The raw formation energy comes out at 0.073 eV/atom. The calculation puts the density of states at the Fermi level at 0.358 states/eV per atom. The total magnetic moment is 0.0 μB per cell. The value obtained for the uncorrected energy is -3.189 eV per atom. The value obtained for the density is 8.94 g/cm³.

[3]
The following is a PBE calculation of crystalline Ac3Zn3Ni at its relaxed geometry, from Alexandria.

The space group is Imm2 (No. 44) and the conventional cell measures 4.101, 4.637 and 20.079 Å, with angles of 90.00, 90.00 and 90.00 degrees. The asymmetric unit holds Ac at (0.000, 0.000, 0.000), Ac at (0.000, 0.000, 0.367), Ac at (0.000, 0.500, 0.194), Zn at (0.000, 0.000, 0.556), Zn at (0.000, 0.000, 0.819), Zn at (0.000, 0.500, 0.629) and Ni at (0.000, 0.500, 0.757).

The calculation puts the density of states at the Fermi level at 0.869 states/eV per atom. The total magnetic moment is 0.0 μB per cell. The value obtained for the uncorrected energy is -3.399 eV per atom. The value obtained for the density is 8.14 g/cm³.